(1)
Mg2GaMoF: relaxed, GGA+U.

Lattice parameters (Å, degrees): 4.2157 4.2157 5.1700 90.00 90.00 90.00
Atoms (fractional coordinates):
Mg (0.0000, 0.5000, 0.0000)
Mg (0.5000, 0.0000, 0.0000)
Ga (0.0000, 0.0000, 0.5000)
Mo (0.5000, 0.5000, 0.5000)
F (0.5000, 0.5000, 0.0000)

Results
Its total energy is -16.94 eV per cell. As for the symmetry: P4/mmm (123).


(2)
MgGaMoF2: relaxed, GGA+U.

Lattice parameters (Å, degrees): 4.1820 4.1820 6.4949 90.00 90.00 90.00
Atoms (fractional coordinates):
Mg (0.0000, 0.0000, 0.0000)
Ga (0.5000, 0.5000, 0.0000)
Mo (0.0000, 0.0000, 0.5000)
F (0.0000, 0.5000, 0.5000)
F (0.5000, 0.0000, 0.5000)

Results
Its total energy is -20.22 eV per cell. As for the symmetry: P4/mmm (123).